Record 1
DFT (PBE) results for a relaxed SmSc3Sb4 crystal.

```
SmSc3Sb4
1.0
-1.151 -4.092 -0.048
2.990 -0.920 6.653
-5.047 1.359 5.171
Sc Sb Sm
3 4 1
direct
0.500 0.000 0.500
0.000 0.000 0.000
0.000 0.500 0.500
0.000 0.764 0.736
0.500 0.757 0.257
0.000 0.236 0.264
0.500 0.243 0.743
0.500 0.500 0.000
```

Output
- Electronic total energy: -6.002 eV per atom
- Total magnetization: 0.00 Bohr magnetons per cell

=====

Record 2
DFT (PBE) results for a relaxed TbSmSc2Sb4 crystal.

```
TbSmSc2Sb4
1.0
4.309 0.000 0.000
0.000 7.461 0.128
0.000 -2.607 6.965
Tb Sm Sc Sb
1 1 2 4
direct
0.000 0.000 0.000
0.500 0.500 0.000
0.500 0.000 0.500
0.000 0.500 0.500
0.500 0.254 0.268
0.500 0.746 0.732
0.000 0.242 0.731
0.000 0.758 0.269
```

Output
- Electronic total energy: -5.853 eV per atom
- Total magnetization: 0.00 Bohr magnetons per cell

=====

Record 3
DFT (PBE) results for a relaxed SmTh2ScSb4 crystal.

```
SmTh2ScSb4
1.0
-4.425 -0.145 0.321
-0.492 -1.568 -7.505
0.498 -6.479 3.954
Sm Th Sc Sb
1 2 1 4
direct
0.500 0.500 0.000
0.500 0.000 0.500
0.000 0.500 0.500
0.000 0.000 0.000
0.500 0.236 0.233
0.500 0.764 0.767
0.000 0.245 0.760
0.000 0.755 0.240
```

Output
- Electronic total energy: -6.266 eV per atom
- Total magnetization: 0.00 Bohr magnetons per cell

=====

Record 4
DFT (PBE) results for a relaxed Sm2ThScSb4 crystal.

```
Sm2ThScSb4
1.0
4.427 0.000 0.000
0.000 7.615 0.120
0.000 -2.673 7.185
Sm Th Sc Sb
2 1 1 4
direct
0.500 0.000 0.500
0.000 0.500 0.500
0.000 0.000 0.000
0.500 0.500 0.000
0.500 0.259 0.246
0.500 0.741 0.754
0.000 0.264 0.762
0.000 0.736 0.238
```

Output
- Electronic total energy: -6.002 eV per atom
- Total magnetization: 0.00 Bohr magnetons per cell

=====

Record 5
DFT (PBE) results for a relaxed SmTm2ScSb4 crystal.

```
SmTm2ScSb4
1.0
-2.912 4.953 -2.156
-5.104 -1.720 2.942
5.771 1.561 4.524
Sm Tm Sc Sb
1 2 1 4
direct
0.937 0.937 0.000
0.187 0.687 0.500
0.687 0.187 0.500
0.438 0.438 0.000
0.937 0.437 0.000
0.437 0.937 0.000
0.195 0.195 0.515
0.679 0.679 0.485
```

Output
- Electronic total energy: -5.604 eV per atom
- Total magnetization: 0.00 Bohr magnetons per cell

=====

Record 6
DFT (PBE) results for a relaxed Sm2TmScSb4 crystal.

```
Sm2TmScSb4
1.0
-0.786 2.878 3.194
-7.350 -1.785 -0.200
3.553 -4.488 4.919
Sm Tm Sc Sb
2 1 1 4
direct
0.500 0.000 0.500
0.000 0.500 0.500
0.500 0.500 0.000
0.000 0.000 0.000
0.500 0.240 0.233
0.500 0.760 0.767
0.000 0.249 0.763
0.000 0.751 0.237
```

Output
- Electronic total energy: -5.669 eV per atom
- Total magnetization: 0.00 Bohr magnetons per cell

=====

Record 7
DFT (PBE) results for a relaxed Sm2YScSb4 crystal.

```
Sm2YScSb4
1.0
-2.591 -1.151 3.344
1.436 -7.317 -1.406
5.118 2.689 4.893
Sm Y Sc Sb
2 1 1 4
direct
0.500 0.000 0.500
0.000 0.500 0.500
0.500 0.500 0.000
0.000 0.000 0.000
0.500 0.238 0.235
0.500 0.762 0.765
0.000 0.247 0.760
0.000 0.753 0.240
```

Output
- Electronic total energy: -5.940 eV per atom
- Total magnetization: 0.00 Bohr magnetons per cell

=====

Record 8
DFT (PBE) results for a relaxed ScSnSb crystal.

```
ScSnSb
1.0
-2.782 2.430 1.709
-2.065 0.672 -4.317
-1.444 -3.642 2.829
Sc Sb Sn
1 1 1
direct
0.214 0.333 0.667
0.123 0.000 0.000
0.663 0.667 0.333
```

Output
- Electronic total energy: -4.957 eV per atom
- Total magnetization: 0.00 Bohr magnetons per cell

=====

Record 9
DFT (PBE) results for a relaxed Sc7Sn2Sb2 crystal.

```
Sc7Sn2Sb2
1.0
-3.094 -0.660 5.835
-5.149 -3.061 -3.076
3.521 -5.618 -0.303
Sc Sn Sb
7 2 2
direct
0.000 0.279 0.500
0.500 0.721 0.000
0.000 0.721 0.500
0.500 0.279 0.000
0.000 0.000 0.000
0.500 0.729 0.500
0.500 0.271 0.500
0.818 0.500 0.818
0.182 0.500 0.182
0.719 0.000 0.281
0.281 0.000 0.719
```

Output
- Electronic total energy: -5.875 eV per atom
- Total magnetization: 3.04 Bohr magnetons per cell

=====

Record 10
DFT (PBE) results for a relaxed Sc10Sn3Sb3 crystal.

```
Sc10Sn3Sb3
1.0
6.004 0.000 0.000
0.000 7.315 -4.223
0.000 0.000 8.446
Sc Sn Sb
10 3 3
direct
0.250 0.667 0.333
0.250 0.333 0.667
0.750 0.333 0.667
0.750 0.667 0.333
0.500 0.000 0.761
0.500 0.761 0.000
0.500 0.239 0.239
0.000 0.000 0.240
0.000 0.240 0.000
0.000 0.760 0.760
0.500 0.000 0.392
0.500 0.392 0.000
0.500 0.608 0.608
0.000 0.000 0.609
0.000 0.609 0.000
0.000 0.391 0.391
```

Output
- Electronic total energy: -6.256 eV per atom
- Total magnetization: 0.02 Bohr magnetons per cell

=====

Record 11
DFT (PBE) results for a relaxed Sc2SnSb2 crystal.

```
Sc2SnSb2
1.0
-4.923 2.682 5.890
-6.446 -1.371 -4.764
-0.274 -3.578 1.400
Sc Sb Sn
4 4 2
direct
0.145 0.645 0.500
0.645 0.855 0.500
0.855 0.355 0.500
0.355 0.145 0.500
0.349 0.849 0.000
0.849 0.651 0.000
0.651 0.151 0.000
0.151 0.349 0.000
0.000 0.000 0.000
0.500 0.500 0.000
```

Output
- ΔE to the lowest computed polymorph: 47 meV per atom
- Total magnetization: 0.77 Bohr magnetons per cell

=====

Record 12
DFT (PBE) results for a relaxed Sc4SnSb3 crystal.

```
Sc4SnSb3
1.0
-5.142 -4.750 -0.882
6.288 -3.474 1.605
-1.818 0.460 8.121
Sc Sb Sn
8 6 2
direct
0.999 0.250 0.625
0.501 0.256 0.872
0.499 0.250 0.375
0.001 0.256 0.128
0.999 0.744 0.872
0.501 0.750 0.625
0.499 0.744 0.128
0.001 0.750 0.375
0.750 0.000 0.373
0.250 0.000 0.627
0.750 0.500 0.623
0.750 0.500 0.126
0.250 0.500 0.377
0.250 0.500 0.874
0.750 0.000 0.880
0.250 0.000 0.120
```

Output
- Electronic total energy: -6.006 eV per atom
- Total magnetization: 0.00 Bohr magnetons per cell

=====

Number 1: theoretical density 5.9 g/cm³. Number 2: theoretical density 6.5 g/cm³. Number 3: theoretical density 7.8 g/cm³. Number 4: theoretical density 7.3 g/cm³. Number 5: theoretical density 7.4 g/cm³. Number 6: theoretical density 7.1 g/cm³. Number 7: theoretical density 6.4 g/cm³. Number 8: theoretical density 5.8 g/cm³. Number 9: theoretical density 4.5 g/cm³. Number 10: theoretical density 5.2 g/cm³. Number 11: theoretical density 5.9 g/cm³. Number 12: theoretical density 5.4 g/cm³.